(1)
# PBE-GGA LaMgPt, optimized geometry
data_LaMgPt
_space_group_name_H-M_alt 'I 4 m m'
_space_group_IT_number 107
_space_group_name_Hall 'I 4 -2'
_cell_length_a 3.518
_cell_length_b 3.518
_cell_length_c 11.639
_cell_angle_alpha 90.00
_cell_angle_beta 90.00
_cell_angle_gamma 90.00
loop_
_atom_site_label
_atom_site_type_symbol
_atom_site_fract_x
_atom_site_fract_y
_atom_site_fract_z
La1 La 0.000 0.000 0.000
Mg1 Mg 0.000 0.000 0.727
Pt1 Pt 0.000 0.000 0.346
# DOS(E_F) (states/eV per cell): 4.3
# Energy of formation (meV per atom): -685


(2)
# PBE-GGA La2MgPt, optimized geometry
data_La2MgPt
_space_group_name_H-M_alt 'C 1 m 1'
_space_group_IT_number 8
_cell_length_a 12.593
_cell_length_b 3.712
_cell_length_c 5.134
_cell_angle_alpha 90.00
_cell_angle_beta 114.03
_cell_angle_gamma 90.00
loop_
_space_group_symop_operation_xyz
'x,y,z'
'x,-y,z'
'x+1/2,y+1/2,z'
'x+1/2,-y+1/2,z'
loop_
_atom_site_label
_atom_site_type_symbol
_atom_site_fract_x
_atom_site_fract_y
_atom_site_fract_z
La1 La 0.000 0.000 0.000
La2 La 0.198 0.000 0.697
Mg1 Mg 0.304 0.500 0.304
Pt1 Pt 0.485 0.000 0.485
# DOS(E_F) (states/eV per cell): 10.1
# Energy of formation (meV per atom): -548


(3)
# PBE-GGA La4MgPt, optimized geometry
data_La4MgPt
_space_group_name_H-M_alt 'F -4 3 m'
_space_group_IT_number 216
_space_group_name_Hall 'F -4 2 3'
_cell_length_a 8.997
_cell_length_b 8.997
_cell_length_c 8.997
_cell_angle_alpha 90.00
_cell_angle_beta 90.00
_cell_angle_gamma 90.00
loop_
_atom_site_label
_atom_site_type_symbol
_atom_site_fract_x
_atom_site_fract_y
_atom_site_fract_z
La1 La 0.123 0.123 0.377
Mg1 Mg 0.000 0.000 0.000
Pt1 Pt 0.250 0.250 0.750
# DOS(E_F) (states/eV per cell): 35.5
# Energy relative to the lowest polymorph listed for this composition (eV/atom): 0.786
# Energy of formation (meV per atom): 305


(4)
# PBE-GGA LaMg2Pt, optimized geometry
data_LaMg2Pt
_space_group_name_H-M_alt 'F m -3 m'
_space_group_IT_number 225
_space_group_name_Hall '-F 4 2 3'
_cell_length_a 7.003
_cell_length_b 7.003
_cell_length_c 7.003
_cell_angle_alpha 90.00
_cell_angle_beta 90.00
_cell_angle_gamma 90.00
loop_
_atom_site_label
_atom_site_type_symbol
_atom_site_fract_x
_atom_site_fract_y
_atom_site_fract_z
La1 La 0.000 0.000 0.000
Mg1 Mg 0.250 0.250 0.250
Pt1 Pt 0.000 0.000 0.500
# DOS(E_F) (states/eV per cell): 11.3
# Energy of formation (meV per atom): -393


(5)
# PBE-GGA LaMg5Pt2, optimized geometry
data_LaMg5Pt2
_space_group_name_H-M_alt 'I m m m'
_space_group_IT_number 71
_space_group_name_Hall '-I 2 2'
_cell_length_a 4.222
_cell_length_b 8.301
_cell_length_c 10.056
_cell_angle_alpha 90.00
_cell_angle_beta 90.00
_cell_angle_gamma 90.00
loop_
_atom_site_label
_atom_site_type_symbol
_atom_site_fract_x
_atom_site_fract_y
_atom_site_fract_z
La1 La 0.000 0.000 0.000
Mg1 Mg 0.000 0.182 0.337
Mg2 Mg 0.000 0.500 0.000
Pt1 Pt 0.000 0.500 0.269
# DOS(E_F) (states/eV per cell): 7.6
# Energy of formation (meV per atom): -651


(6)
# PBE-GGA LaMgPt, optimized geometry
data_LaMgPt
_space_group_name_H-M_alt 'F -4 3 m'
_space_group_IT_number 216
_space_group_name_Hall 'F -4 2 3'
_cell_length_a 7.026
_cell_length_b 7.026
_cell_length_c 7.026
_cell_angle_alpha 90.00
_cell_angle_beta 90.00
_cell_angle_gamma 90.00
loop_
_atom_site_label
_atom_site_type_symbol
_atom_site_fract_x
_atom_site_fract_y
_atom_site_fract_z
La1 La 0.000 0.000 0.000
Mg1 Mg 0.250 0.250 0.250
Pt1 Pt 0.250 0.250 0.750
# DOS(E_F) (states/eV per cell): 13.1
# Energy of formation (meV per atom): -74


E_tot
In order: -29.23 -39.36 -102.07 -62.91 -60.38 -51.14
Unit: eV per cell
Magnetic moment
In order: 0.00 0.00 0.00 0.00 0.00 0.00
Unit: μB/f.u.